Below is a relaxed Sr2IrRh crystal, with properties calculated at the GGA-PBE level.

a = 9.179 Å, b = 9.179 Å, c = 9.179 Å
α = 22.09°, β = 22.09°, γ = 22.09°
Fractional coordinates of all 4 atoms:
1 Ir 0.250 0.250 0.250
2 Sr 0.001 0.001 0.001
3 Sr 0.499 0.499 0.499
4 Rh 0.750 0.750 0.750

Values from the calculation:
The value obtained for the total energy is -0.335 Ry/atom. The total magnetization comes out at 0.0 μB/cell.

***

Below is a relaxed Sr2IrRh crystal, with properties calculated at the GGA-PBE level.

a = 4.555 Å, b = 4.752 Å, c = 5.730 Å
α = 65.52°, β = 90.00°, γ = 90.00°
Fractional coordinates of all 4 atoms:
1 Ir 0.000 0.666 0.542
2 Sr 0.000 0.979 0.917
3 Sr 0.500 0.270 0.336
4 Rh 0.500 0.585 0.704

Values from the calculation:
The value obtained for the total energy is -0.377 Ry/atom. The total magnetization comes out at 0.0 μB/cell.

***

Below is a relaxed SrIr3Rh crystal, with properties calculated at the GGA-PBE level.

a = 4.875 Å, b = 4.875 Å, c = 4.875 Å
α = 90.00°, β = 90.00°, γ = 90.00°
Each line ends with the local moment (μB).
Fractional coordinates of all 5 atoms:
1 Rh 0.500 0.500 0.500  1.38
2 Ir 0.000 0.000 0.500  0.62
3 Ir 0.500 0.000 0.000  0.98
4 Ir 0.000 0.500 0.000  0.88
5 Sr 0.000 0.000 0.000  -0.03

Values from the calculation:
The value obtained for the total energy is -0.304 Ry/atom. The total magnetization comes out at 3.8 μB/cell.

***

Below is a relaxed Sr2IrRh crystal, with properties calculated at the GGA-PBE level.

a = 8.078 Å, b = 8.078 Å, c = 6.447 Å
α = 51.21°, β = 51.21°, γ = 90.00°
Each line ends with the local moment (μB).
Fractional coordinates of all 8 atoms:
1 Rh 0.250 0.750 0.500  0.30
2 Rh 0.500 0.500 0.000  0.30
3 Sr 0.128 0.625 0.250  -0.01
4 Sr 0.622 0.125 0.250  -0.01
5 Sr 0.875 0.872 0.750  -0.01
6 Sr 0.375 0.378 0.750  -0.01
7 Ir 0.750 0.250 0.500  0.32
8 Ir 0.000 0.000 0.000  0.32

Values from the calculation:
The value obtained for the total energy is -0.331 Ry/atom. The total magnetization comes out at 1.2 μB/cell.

***

Below is a relaxed SrTc2IrRh crystal, with properties calculated at the GGA-PBE level.

a = 4.675 Å, b = 5.351 Å, c = 4.675 Å
α = 90.00°, β = 90.00°, γ = 90.00°
Each line ends with the local moment (μB).
Fractional coordinates of all 5 atoms:
1 Sr 0.000 0.500 0.000  -0.01
2 Rh 0.000 0.000 0.000  0.05
3 Tc 0.500 0.000 0.000  1.35
4 Tc 0.000 0.000 0.500  1.31
5 Ir 0.500 0.500 0.500  0.48

Values from the calculation:
The value obtained for the total energy is -0.444 Ry/atom. The total magnetization comes out at 3.5 μB/cell.

***

Below is a relaxed Sr2TeIrRh crystal, with properties calculated at the GGA-PBE level.

a = 5.810 Å, b = 4.885 Å, c = 5.810 Å
α = 90.00°, β = 90.00°, γ = 90.00°
Each line ends with the local moment (μB).
Fractional coordinates of all 5 atoms:
1 Sr 0.500 0.000 0.000  -0.01
2 Sr 0.000 0.000 0.500  -0.01
3 Te 0.000 0.500 0.000  0.04
4 Rh 0.500 0.500 0.500  0.97
5 Ir 0.000 0.000 0.000  0.00

Values from the calculation:
The total magnetization comes out at 1.1 μB/cell. Its uncorrected formation energy is 0.159 eV/atom.

***

Below is a relaxed Sr2Zn6IrRh crystal, with properties calculated at the GGA-PBE level.

a = 6.707 Å, b = 6.875 Å, c = 6.942 Å
α = 56.36°, β = 62.28°, γ = 90.15°
Fractional coordinates of all 10 atoms:
1 Sr 0.203 0.787 0.587
2 Sr 0.797 0.213 0.413
3 Zn 0.680 0.753 0.066
4 Zn 0.742 0.677 0.504
5 Zn 0.260 0.757 0.060
6 Zn 0.320 0.247 0.934
7 Zn 0.258 0.323 0.496
8 Zn 0.740 0.243 0.940
9 Rh 0.000 0.000 0.000
10 Ir 0.500 0.500 0.000

Values from the calculation:
The value obtained for the total energy is -0.224 Ry/atom. The total magnetization comes out at 0.0 μB/cell.

***

Below is a relaxed SrZnIrRh2 crystal, with properties calculated at the GGA-PBE level.

a = 4.852 Å, b = 4.825 Å, c = 4.852 Å
α = 90.00°, β = 90.00°, γ = 90.00°
Fractional coordinates of all 5 atoms:
1 Zn 0.000 0.500 0.000
2 Sr 0.500 0.500 0.500
3 Ir 0.000 0.000 0.000
4 Rh 0.000 0.000 0.500
5 Rh 0.500 0.000 0.000

Values from the calculation:
The value obtained for the total energy is -0.367 Ry/atom. The total magnetization comes out at 0.0 μB/cell.

***

Below is a relaxed TaIrRh2 crystal, with properties calculated at the GGA-PBE level.

a = 4.432 Å, b = 4.432 Å, c = 4.432 Å
α = 60.00°, β = 60.00°, γ = 60.00°
Fractional coordinates of all 4 atoms:
1 Rh 0.750 0.750 0.750
2 Rh 0.250 0.250 0.250
3 Ta 0.000 0.000 0.000
4 Ir 0.500 0.500 0.500

Values from the calculation:
The value obtained for the total energy is -0.659 Ry/atom. The total magnetization comes out at 0.0 μB/cell.

***

Below is a relaxed TaIr2Rh crystal, with properties calculated at the GGA-PBE level.

a = 2.775 Å, b = 2.775 Å, c = 7.913 Å
α = 90.00°, β = 90.00°, γ = 90.00°
Fractional coordinates of all 4 atoms:
1 Ir 0.000 0.000 0.008
2 Ir 0.500 0.500 0.249
3 Rh 0.000 0.000 0.495
4 Ta 0.500 0.500 0.749

Values from the calculation:
The value obtained for the total energy is -0.696 Ry/atom. The total magnetization comes out at 0.0 μB/cell.

***

Below is a relaxed TaIr2Rh crystal, with properties calculated at the GGA-PBE level.

a = 4.447 Å, b = 4.447 Å, c = 4.447 Å
α = 60.00°, β = 60.00°, γ = 60.00°
Fractional coordinates of all 4 atoms:
1 Rh 0.000 0.000 0.000
2 Ta 0.500 0.500 0.500
3 Ir 0.750 0.750 0.750
4 Ir 0.250 0.250 0.250

Values from the calculation:
The value obtained for the total energy is -0.687 Ry/atom. The total magnetization comes out at 0.0 μB/cell.

***

Below is a relaxed Ta11Ir4Rh9 crystal, with properties calculated at the GGA-PBE level.

a = 2.960 Å, b = 12.187 Å, c = 12.187 Å
α = 117.53°, β = 90.00°, γ = 90.00°
Fractional coordinates of all 24 atoms:
1 Ir 0.500 0.565 0.759
2 Ir 0.500 0.759 0.565
3 Ir 0.500 0.241 0.435
4 Ir 0.500 0.435 0.241
5 Rh 0.500 0.958 0.806
6 Rh 0.500 0.844 0.383
7 Rh 0.500 0.806 0.958
8 Rh 0.500 0.042 0.194
9 Rh 0.500 0.500 0.500
10 Rh 0.500 0.194 0.042
11 Rh 0.500 0.156 0.617
12 Rh 0.500 0.383 0.844
13 Rh 0.500 0.617 0.156
14 Ta 0.000 0.633 0.367
15 Ta 0.000 0.727 0.727
16 Ta 0.000 0.960 0.607
17 Ta 0.000 0.607 0.960
18 Ta 0.000 0.367 0.633
19 Ta 0.000 0.040 0.393
20 Ta 0.000 0.174 0.826
21 Ta 0.000 0.273 0.273
22 Ta 0.000 0.826 0.174
23 Ta 0.000 0.393 0.040
24 Ta 0.000 0.000 0.000

Values from the calculation:
The value obtained for the total energy is -0.746 Ry/atom. The total magnetization comes out at 0.0 μB/cell.

***

Below is a relaxed TaIrRh4 crystal, with properties calculated at the GGA-PBE level.

a = 4.362 Å, b = 4.362 Å, c = 5.441 Å
α = 89.99°, β = 89.99°, γ = 119.99°
Fractional coordinates of all 6 atoms:
1 Rh 0.667 0.833 0.755
2 Rh 0.333 0.167 0.245
3 Rh 0.333 0.167 0.755
4 Rh 0.667 0.833 0.245
5 Ta 0.000 0.500 0.500
6 Ir 0.000 0.500 0.000

Values from the calculation:
The value obtained for the total energy is -0.629 Ry/atom. The total magnetization comes out at 0.0 μB/cell.

***

Below is a relaxed Ta3IrRh3 crystal, with properties calculated at the GGA-PBE level.

a = 7.753 Å, b = 7.753 Å, c = 7.753 Å
α = 90.00°, β = 90.00°, γ = 90.00°
Fractional coordinates of all 28 atoms:
1 Rh 0.168 0.168 0.168
2 Rh 0.536 0.036 0.464
3 Rh 0.668 0.332 0.832
4 Rh 0.840 0.340 0.160
5 Rh 0.340 0.160 0.840
6 Rh 0.332 0.832 0.668
7 Rh 0.832 0.668 0.332
8 Rh 0.036 0.464 0.536
9 Rh 0.660 0.660 0.660
10 Rh 0.964 0.964 0.964
11 Rh 0.160 0.840 0.340
12 Rh 0.464 0.536 0.036
13 Ta 0.463 0.693 0.372
14 Ta 0.628 0.963 0.807
15 Ta 0.037 0.307 0.872
16 Ta 0.128 0.537 0.193
17 Ta 0.537 0.193 0.128
18 Ta 0.807 0.628 0.963
19 Ta 0.307 0.872 0.037
20 Ta 0.193 0.128 0.537
21 Ta 0.693 0.372 0.463
22 Ta 0.372 0.463 0.693
23 Ta 0.963 0.807 0.628
24 Ta 0.872 0.037 0.307
25 Ir 0.369 0.369 0.369
26 Ir 0.131 0.631 0.869
27 Ir 0.631 0.869 0.131
28 Ir 0.869 0.131 0.631

Values from the calculation:
The value obtained for the total energy is -0.727 Ry/atom. The total magnetization comes out at 0.0 μB/cell.

***

Below is a relaxed TaIrRh2 crystal, with properties calculated at the GGA-PBE level.

a = 9.147 Å, b = 9.147 Å, c = 9.147 Å
α = 17.60°, β = 17.60°, γ = 17.60°
Each line ends with the local moment (μB).
Fractional coordinates of all 4 atoms:
1 Ir 0.251 0.251 0.251  0.02
2 Rh 0.749 0.749 0.749  0.02
3 Rh 0.000 0.000 0.000  0.13
4 Ta 0.500 0.500 0.500  0.00

Values from the calculation:
The value obtained for the total energy is -0.659 Ry/atom. The total magnetization comes out at 0.2 μB/cell.

***

Below is a relaxed TaIrRh2 crystal, with properties calculated at the GGA-PBE level.

a = 2.820 Å, b = 3.841 Å, c = 5.587 Å
α = 90.00°, β = 90.00°, γ = 90.00°
Fractional coordinates of all 4 atoms:
1 Rh 0.000 0.000 0.000
2 Rh 0.500 0.500 0.243
3 Ta 0.000 0.000 0.500
4 Ir 0.500 0.500 0.757

Values from the calculation:
The value obtained for the total energy is -0.679 Ry/atom. The total magnetization comes out at 0.0 μB/cell.

***

Below is a relaxed TaIr2Rh crystal, with properties calculated at the GGA-PBE level.

a = 2.817 Å, b = 3.860 Å, c = 5.602 Å
α = 90.00°, β = 90.00°, γ = 90.00°
Fractional coordinates of all 4 atoms:
1 Ir 0.000 0.000 0.758
2 Ir 0.000 0.000 0.242
3 Ta 0.500 0.500 0.500
4 Rh 0.500 0.500 0.000

Values from the calculation:
The value obtained for the total energy is -0.708 Ry/atom. The total magnetization comes out at 0.0 μB/cell.

***

Below is a relaxed TaIr2Rh crystal, with properties calculated at the GGA-PBE level.

a = 4.447 Å, b = 4.447 Å, c = 4.447 Å
α = 60.00°, β = 60.00°, γ = 60.00°
Each line ends with the local moment (μB).
Fractional coordinates of all 4 atoms:
1 Ir 0.000 0.000 0.000  0.18
2 Ir 0.750 0.750 0.750  0.16
3 Rh 0.500 0.500 0.500  0.06
4 Ta 0.250 0.250 0.250  -0.01

Values from the calculation:
The value obtained for the total energy is -0.684 Ry/atom. The total magnetization comes out at 0.4 μB/cell.

***

Below is a relaxed Ta2IrRh crystal, with properties calculated at the GGA-PBE level.

a = 2.888 Å, b = 2.888 Å, c = 7.699 Å
α = 90.00°, β = 90.00°, γ = 90.00°
Fractional coordinates of all 4 atoms:
1 Rh 0.500 0.500 0.500
2 Ir 0.500 0.500 0.000
3 Ta 0.000 0.000 0.750
4 Ta 0.000 0.000 0.250

Values from the calculation:
The value obtained for the total energy is -0.773 Ry/atom. The total magnetization comes out at 0.0 μB/cell.

***

Below is a relaxed TaIr2Rh crystal, with properties calculated at the GGA-PBE level.

a = 4.811 Å, b = 4.811 Å, c = 4.811 Å
α = 131.86°, β = 131.86°, γ = 70.44°
Fractional coordinates of all 4 atoms:
1 Ir 0.750 0.250 0.500
2 Ir 0.000 0.000 0.000
3 Rh 0.500 0.500 0.000
4 Ta 0.250 0.750 0.500

Values from the calculation:
The value obtained for the total energy is -0.717 Ry/atom. The total magnetization comes out at 0.0 μB/cell.